No. 1
VASP calculation (PBE) on TaSbAuI2 after structural relaxation.

Total moment in μB per formula unit: 2.36
Polymorph energy (0 for the lowest one) in eV/atom: 0.731
Formation energy from raw total energies in eV per atom: 1.32
Calculated total energy in Ry per atom: -0.2316

a b c (Å): 5.441 5.441 5.508
angles (deg): 90.00 90.00 90.00
Sites, in units of the cell vectors:
Ta 0.000 0.000 0.000
Sb 0.500 0.500 0.000
Au 0.500 0.500 0.500
I 0.000 0.500 0.500
I 0.500 0.000 0.500

=====

No. 2
VASP calculation (PBE) on SbTeAuI2 after structural relaxation.

Total moment in μB per formula unit: 0.00
Polymorph energy (0 for the lowest one) in eV/atom: 0.000
Formation energy from raw total energies in eV per atom: 0.43
Calculated total energy in Ry per atom: -0.1692

a b c (Å): 5.480 5.480 5.659
angles (deg): 90.00 90.00 90.00
Sites, in units of the cell vectors:
Sb 0.000 0.000 0.000
Te 0.500 0.500 0.000
Au 0.500 0.500 0.500
I 0.000 0.500 0.500
I 0.500 0.000 0.500

=====

No. 3
VASP calculation (PBE) on SbTe2AuI after structural relaxation.

Total moment in μB per formula unit: 0.00
Polymorph energy (0 for the lowest one) in eV/atom: 0.027
Formation energy from raw total energies in eV per atom: 0.49
Calculated total energy in Ry per atom: -0.1883

a b c (Å): 5.439 5.439 5.625
angles (deg): 90.00 90.00 90.00
Sites, in units of the cell vectors:
Sb 0.000 0.000 0.000
Te 0.000 0.500 0.500
Te 0.500 0.000 0.500
Au 0.000 0.000 0.500
I 0.500 0.500 0.000

=====

No. 4
VASP calculation (PBE) on SbTe2AuI after structural relaxation.

Total moment in μB per formula unit: 0.00
Polymorph energy (0 for the lowest one) in eV/atom: 0.000
Formation energy from raw total energies in eV per atom: 0.46
Calculated total energy in Ry per atom: -0.1903

a b c (Å): 5.510 5.510 5.400
angles (deg): 90.00 90.00 90.00
Sites, in units of the cell vectors:
Sb 0.000 0.000 0.000
Te 0.000 0.500 0.500
Te 0.500 0.000 0.500
Au 0.500 0.500 0.500
I 0.500 0.500 0.000

=====

No. 5
VASP calculation (PBE) on SbTeAuI2 after structural relaxation.

Total moment in μB per formula unit: 0.23
Polymorph energy (0 for the lowest one) in eV/atom: 0.030
Formation energy from raw total energies in eV per atom: 0.46
Calculated total energy in Ry per atom: -0.1670

a b c (Å): 5.451 5.451 5.752
angles (deg): 90.00 90.00 90.00
Sites, in units of the cell vectors:
Sb 0.000 0.000 0.000
Te 0.500 0.500 0.000
Au 0.000 0.000 0.500
I 0.000 0.500 0.500
I 0.500 0.000 0.500

=====

No. 6
VASP calculation (PBE) on TiSb2AuI after structural relaxation.

Total moment in μB per formula unit: 0.00
Polymorph energy (0 for the lowest one) in eV/atom: 0.557
Formation energy from raw total energies in eV per atom: 0.90
Calculated total energy in Ry per atom: -0.2419

a b c (Å): 5.366 5.366 5.480
angles (deg): 90.00 90.00 90.00
Sites, in units of the cell vectors:
Ti 0.000 0.000 0.000
Sb 0.000 0.500 0.500
Sb 0.500 0.000 0.500
Au 0.500 0.500 0.500
I 0.500 0.500 0.000

=====

No. 7
VASP calculation (PBE) on TiSb2AuI after structural relaxation.

Total moment in μB per formula unit: 0.00
Polymorph energy (0 for the lowest one) in eV/atom: 0.000
Formation energy from raw total energies in eV per atom: 0.35
Calculated total energy in Ry per atom: -0.2828

a b c (Å): 5.332 5.332 5.245
angles (deg): 90.00 90.00 90.00
Sites, in units of the cell vectors:
Ti 0.000 0.000 0.000
Sb 0.000 0.500 0.000
Sb 0.500 0.000 0.000
Au 0.500 0.500 0.500
I 0.000 0.000 0.500

=====

No. 8
VASP calculation (PBE) on TiSbAuI2 after structural relaxation.

Total moment in μB per formula unit: 0.00
Polymorph energy (0 for the lowest one) in eV/atom: 0.000
Formation energy from raw total energies in eV per atom: 0.24
Calculated total energy in Ry per atom: -0.2529

a b c (Å): 5.300 5.300 5.605
angles (deg): 90.00 90.00 90.00
Sites, in units of the cell vectors:
Ti 0.000 0.000 0.000
Sb 0.000 0.000 0.500
Au 0.500 0.500 0.500
I 0.000 0.500 0.000
I 0.500 0.000 0.000

=====

No. 9
VASP calculation (PBE) on TiSbAuI2 after structural relaxation.

Total moment in μB per formula unit: 0.22
Polymorph energy (0 for the lowest one) in eV/atom: 0.615
Formation energy from raw total energies in eV per atom: 0.85
Calculated total energy in Ry per atom: -0.2077

a b c (Å): 5.522 5.522 5.517
angles (deg): 90.00 90.00 90.00
Sites, in units of the cell vectors:
Ti 0.000 0.000 0.000
Sb 0.500 0.500 0.000
Au 0.500 0.500 0.500
I 0.000 0.500 0.500
I 0.500 0.000 0.500

=====

No. 10
VASP calculation (PBE) on TlSb2AuI after structural relaxation.

Total moment in μB per formula unit: 1.35
Polymorph energy (0 for the lowest one) in eV/atom: 0.660
Formation energy from raw total energies in eV per atom: 0.98
Calculated total energy in Ry per atom: -0.1551

a b c (Å): 5.786 5.786 5.938
angles (deg): 90.00 90.00 90.00
Sites, in units of the cell vectors:
Tl 0.000 0.000 0.000
Sb 0.000 0.500 0.000
Sb 0.500 0.000 0.000
Au 0.500 0.500 0.500
I 0.000 0.000 0.500

=====

No. 11
VASP calculation (PBE) on TlSb2AuI after structural relaxation.

Total moment in μB per formula unit: 1.27
Polymorph energy (0 for the lowest one) in eV/atom: 0.000
Formation energy from raw total energies in eV per atom: 0.32
Calculated total energy in Ry per atom: -0.2036

a b c (Å): 5.396 5.396 6.200
angles (deg): 90.00 90.00 90.00
Sites, in units of the cell vectors:
Tl 0.000 0.000 0.000
Sb 0.000 0.500 0.500
Sb 0.500 0.000 0.500
Au 0.500 0.500 0.500
I 0.500 0.500 0.000

=====

No. 12
VASP calculation (PBE) on VSb2AuI after structural relaxation.

Total moment in μB per formula unit: 0.00
Polymorph energy (0 for the lowest one) in eV/atom: 0.000
Formation energy from raw total energies in eV per atom: 0.50
Calculated total energy in Ry per atom: -0.2894

a b c (Å): 5.153 5.153 5.213
angles (deg): 90.00 90.00 90.00
Sites, in units of the cell vectors:
V 0.000 0.000 0.000
Sb 0.000 0.500 0.000
Sb 0.500 0.000 0.000
Au 0.500 0.500 0.500
I 0.000 0.000 0.500